Entry 1:
CsMgIn2Pd | PBE | optimized geometry

abc: 5.346 5.346 5.316
angles: 90.00 90.00 90.00
Positions (direct):
Cs  0.000  0.000  0.000
Mg  0.500  0.500  0.000
In  0.000  0.500  0.500
In  0.500  0.000  0.500
Pd  0.500  0.500  0.500

Calculated values
Its mass density is 5.39 g cm⁻³. The formation energy comes out at -0.178 eV/atom.



Entry 2:
LaHg3Cl | PBE | optimized geometry

abc: 6.303 6.303 6.303
angles: 90.00 90.00 90.00
Positions (direct):
La  0.000  0.000  0.000
Hg  0.000  0.000  0.500
Hg  0.000  0.500  0.000
Hg  0.500  0.000  0.000
Cl  0.500  0.500  0.500

Calculated values
Its mass density is 5.15 g cm⁻³. As for the formation energy from raw total energies: 94 meV/atom. The value obtained for the energy relative to the lowest polymorph listed for this composition is 0.0000 eV/atom.



Entry 3:
Ti4CoTc3 | PBE | optimized geometry

abc: 3.081 3.081 12.276
angles: 90.00 90.00 90.00
Positions (direct):
Ti  0.000  0.000  0.122
Ti  0.000  0.000  0.372
Ti  0.000  0.000  0.628
Ti  0.000  0.000  0.878
Co  0.500  0.500  0.000
Tc  0.500  0.500  0.243
Tc  0.500  0.500  0.500
Tc  0.500  0.500  0.757

Calculated values
Its mass density is 7.76 g cm⁻³. The formation energy comes out at -0.485 eV/atom.



Entry 4:
In2SbMo | PBE | optimized geometry

abc: 3.264 3.264 8.817
angles: 90.00 90.00 90.00
Positions (direct):
In  0.000  0.000  0.000
In  0.500  0.500  0.294
Sb  0.500  0.500  0.684
Mo  0.000  0.000  0.505

Calculated values
Its mass density is 7.91 g cm⁻³. As for the formation energy from raw total energies: 214 meV/atom.



Entry 5:
Sr2BeCuBr | PBE | optimized geometry

abc: 5.863 5.863 4.752
angles: 90.00 90.00 90.00
Positions (direct):
Sr  0.000  0.500  0.000
Sr  0.500  0.000  0.000
Be  0.000  0.000  0.000
Cu  0.500  0.500  0.500
Br  0.000  0.000  0.500

Calculated values
Its mass density is 3.33 g cm⁻³. As for the formation energy from raw total energies: 274 meV/atom.



Entry 6:
TcIr3S | PBE | optimized geometry

abc: 4.703 4.703 4.703
angles: 90.00 90.00 90.00
Positions (direct):
Tc  0.000  0.000  0.000
Ir  0.000  0.000  0.500
Ir  0.000  0.500  0.000
Ir  0.500  0.000  0.000
S  0.500  0.500  0.500

Calculated values
Its mass density is 11.28 g cm⁻³. As for the formation energy from raw total energies: 2020 meV/atom. The value obtained for the energy relative to the lowest polymorph listed for this composition is 0.9232 eV/atom.